1.
VASP calculation (PBE-GGA) on a geometry-optimized Rb2SmNp2Se6 structure.

```
Rb2SmNp2Se6
1.0
-3.8352 -4.6206 4.2001
5.1590 -2.5585 -4.5318
5.1432 3.1090 6.0319
Se Sm Np Rb
6 1 2 2
Direct
0.4033 0.0613 0.6909
0.0613 0.4033 0.6909
0.5967 0.9387 0.3091
0.7222 0.7222 0.6918
0.2778 0.2778 0.3082
0.9387 0.5967 0.3091
0.0000 0.0000 0.5000
0.6661 0.3339 0.5000
0.3339 0.6661 0.5000
0.8352 0.1648 0.0000
0.1648 0.8352 0.0000
```

* raw total energy: -6.261 eV/atom
* crystal system: monoclinic
* uncorrected formation energy: -1.403 eV per atom

2.
VASP calculation (PBE-GGA) on a geometry-optimized Rb4Sm3NpSe8 structure.

```
Rb4Sm3NpSe8
1.0
-0.7914 2.3824 -8.2931
-6.4840 -6.7285 -1.3142
-1.4555 5.7486 6.3169
Rb Se Np Sm
4 8 1 3
Direct
0.5000 0.0000 0.5000
0.0000 0.0000 0.0000
0.0000 0.0000 0.5000
0.5000 0.0000 0.0000
0.7678 0.3022 0.5356
0.2322 0.6978 0.9655
0.7333 0.6978 0.9655
0.7678 0.3022 0.0345
0.2669 0.3005 0.5337
0.2322 0.6978 0.4644
0.7331 0.6995 0.4663
0.2667 0.3022 0.0345
0.0000 0.5000 0.0000
0.0000 0.5000 0.5000
0.5000 0.5000 0.0000
0.5000 0.5000 0.5000
```

* raw total energy: -5.284 eV/atom
* crystal system: trigonal
* uncorrected formation energy: -1.606 eV per atom

3.
VASP calculation (PBE-GGA) on a geometry-optimized Rb3SmNp2Se6 structure.

```
Rb3SmNp2Se6
1.0
7.4705 -0.0011 0.0003
-3.7343 6.4702 0.0003
-1.2456 -2.1568 8.0004
Se Np Rb Sm
6 2 3 1
Direct
0.4020 0.0658 0.1973
0.2706 0.2706 0.8031
0.7294 0.7294 0.1969
0.5980 0.9342 0.8027
0.9342 0.5980 0.8027
0.0658 0.4020 0.1973
0.3332 0.6668 0.0000
0.6668 0.3332 0.0000
0.8344 0.1656 0.5000
0.1656 0.8344 0.5000
0.5000 0.5000 0.5000
0.0000 0.0000 0.0000
```

* raw total energy: -5.930 eV/atom
* crystal system: monoclinic
* uncorrected formation energy: -1.396 eV per atom

4.
VASP calculation (PBE-GGA) on a geometry-optimized Rb2Np2SnSe6 structure.

```
Rb2Np2SnSe6
1.0
7.3783 -0.0484 0.1047
-3.6889 6.3901 0.1047
-1.2712 -2.1850 8.0078
Sn Np Se Rb
1 2 6 2
Direct
0.0000 0.0000 0.5000
0.6659 0.3341 0.5000
0.3341 0.6659 0.5000
0.9424 0.5891 0.3108
0.5891 0.9424 0.3108
0.0576 0.4109 0.6892
0.7066 0.7066 0.6914
0.2934 0.2934 0.3086
0.4109 0.0576 0.6892
0.1602 0.8398 0.0000
0.8398 0.1602 0.0000
```

* raw total energy: -5.868 eV/atom
* crystal system: monoclinic
* uncorrected formation energy: -1.075 eV per atom

5.
VASP calculation (PBE-GGA) on a geometry-optimized Rb3Np3SnSe8 structure.

```
Rb3Np3SnSe8
1.0
-4.0355 -7.2593 -2.0247
1.3333 2.0043 8.2038
-6.5386 4.9162 -4.5939
Rb Se Np Sn
3 8 3 1
Direct
0.0000 0.5000 0.0000
0.5000 0.5000 0.0000
0.0000 0.0000 0.0000
0.2382 0.9525 0.6909
0.7144 0.9525 0.6909
0.2682 0.5365 0.3056
0.7618 0.0475 0.3091
0.2856 0.0475 0.3091
0.7318 0.4635 0.6944
0.2387 0.4774 0.6909
0.7613 0.5226 0.3091
0.0000 0.5000 0.5000
0.5000 0.5000 0.5000
0.5000 0.0000 0.5000
0.0000 0.0000 0.5000
```

* raw total energy: -6.035 eV/atom
* crystal system: trigonal
* uncorrected formation energy: -1.128 eV per atom

6.
VASP calculation (PBE-GGA) on a geometry-optimized Rb3NpSn2Se6 structure.

```
Rb3NpSn2Se6
1.0
7.5834 0.0021 0.0024
-3.7881 6.5695 0.0024
-1.2635 -2.1877 7.8167
Rb Se Sn Np
3 6 2 1
Direct
0.5000 0.5000 0.5000
0.8257 0.1743 0.5000
0.1743 0.8257 0.5000
0.0642 0.3747 0.1930
0.6253 0.9358 0.8070
0.2444 0.2444 0.8048
0.7556 0.7556 0.1952
0.3747 0.0642 0.1930
0.9358 0.6253 0.8070
0.6655 0.3345 0.0000
0.3345 0.6655 0.0000
0.0000 0.0000 0.0000
```

* raw total energy: -4.677 eV/atom
* crystal system: monoclinic
* uncorrected formation energy: -0.947 eV per atom